Record 1
The following is a PBE-GGA calculation of an optimized crystal structure of NiAu2Cl8, from the Alexandria database.

The space group is C2/m (No. 12) and the conventional cell measures 11.770, 8.273 and 6.344 Å, with angles of 90.00, 101.84 and 90.00 degrees. The distinct sites, in fractional coordinates, are Ni at (0.000, 0.000, 0.000), Au at (0.233, 0.000, 0.746), Cl at (0.082, 0.185, 0.820), Cl at (0.082, 0.500, 0.300) and Cl at (0.161, 0.000, 0.268).

For the final energy, the calculation gives -2.60 eV per atom.

=====

Record 2
The following is a PBE-GGA calculation of an optimized crystal structure of NiAuCl2, from the Alexandria database.

The space group is P2/m (No. 10) and the conventional cell measures 3.168, 3.031 and 9.464 Å, with angles of 90.00, 90.73 and 90.00 degrees. The distinct sites, in fractional coordinates, are Ni at (0.000, 0.000, 0.000), Au at (0.500, 0.000, 0.500) and Cl at (0.005, 0.500, 0.163).

The calculation puts the energy relative to the lowest polymorph listed for this composition at 162 meV per atom.

=====

Record 3
The following is a PBE-GGA calculation of an optimized crystal structure of NiAuCl, from the Alexandria database.

The space group is I4mm (No. 107) and the conventional cell measures 2.951, 2.951 and 12.795 Å, with angles of 90.00, 90.00 and 90.00 degrees. The distinct sites, in fractional coordinates, are Ni at (0.000, 0.000, 0.000), Au at (0.000, 0.000, 0.642) and Cl at (0.000, 0.000, 0.396).

The calculation puts the energy relative to the lowest polymorph listed for this composition at 180 meV per atom.

=====

Record 4
The following is a PBE-GGA calculation of an optimized crystal structure of Ni2AuCl, from the Alexandria database.

The space group is Pmmm (No. 47) and the conventional cell measures 2.978, 3.610 and 6.204 Å, with angles of 90.00, 90.00 and 90.00 degrees. The distinct sites, in fractional coordinates, are Ni at (0.000, 0.000, 0.202), Au at (0.500, 0.500, 0.000) and Cl at (0.500, 0.000, 0.500).

The calculation puts the energy relative to the lowest polymorph listed for this composition at 0 meV per atom.

=====

Record 5
The following is a PBE-GGA calculation of an optimized crystal structure of Ni5Au3Cl12, from the Alexandria database.

The space group is Ia-3d (No. 230) and the conventional cell measures 15.316, 15.316 and 15.316 Å, with angles of 90.00, 90.00 and 90.00 degrees. The distinct sites, in fractional coordinates, are Ni at (0.000, 0.000, 0.000), Ni at (0.000, 0.250, 0.375), Au at (0.000, 0.250, 0.125) and Cl at (0.018, 0.032, 0.653).

For the final energy, the calculation gives -3.27 eV per atom.

=====

Record 6
The following is a PBE-GGA calculation of an optimized crystal structure of Ni2AuCl, from the Alexandria database.

The space group is Imm2 (No. 44) and the conventional cell measures 2.898, 4.257 and 11.165 Å, with angles of 90.00, 90.00 and 90.00 degrees. The distinct sites, in fractional coordinates, are Ni at (0.000, 0.000, 0.000), Ni at (0.000, 0.500, 0.319), Au at (0.000, 0.500, 0.878) and Cl at (0.000, 0.000, 0.654).

The calculation puts the energy relative to the lowest polymorph listed for this composition at 158 meV per atom.

=====

Record 7
The following is a PBE-GGA calculation of an optimized crystal structure of Ni2AuCl, from the Alexandria database.

The space group is R-3m (No. 166, hexagonal axes) and the conventional cell measures 3.0701, 3.0701 and 21.8491 Å, with angles of 90.00, 90.00 and 120.00 degrees. The distinct sites, in fractional coordinates, are Ni at (0.0000, 0.0000, 0.2445), Au at (0.0000, 0.0000, 0.0000) and Cl at (0.0000, 0.0000, 0.5000).

The calculation puts the energy relative to the lowest polymorph listed for this composition at 89 meV per atom.

=====

Record 8
The following is a PBE-GGA calculation of an optimized crystal structure of NiAuCl2, from the Alexandria database.

The space group is Pm (No. 6) and the conventional cell measures 3.962, 3.313 and 7.164 Å, with angles of 90.00, 104.41 and 90.00 degrees. The distinct sites, in fractional coordinates, are Ni at (0.000, 0.000, 0.000), Au at (0.441, 0.500, 0.885), Cl at (0.118, 0.500, 0.223) and Cl at (0.816, 0.000, 0.682).

The calculation puts the energy relative to the lowest polymorph listed for this composition at 55 meV per atom.

=====

Record 9
The following is a PBE-GGA calculation of an optimized crystal structure of NiAuCl2, from the Alexandria database.

The space group is Imm2 (No. 44) and the conventional cell measures 3.387, 4.850 and 14.272 Å, with angles of 90.00, 90.00 and 90.00 degrees. The distinct sites, in fractional coordinates, are Ni at (0.000, 0.000, 0.000), Au at (0.000, 0.500, 0.638), Cl at (0.000, 0.000, 0.647) and Cl at (0.000, 0.500, 0.404).

The calculation puts the energy relative to the lowest polymorph listed for this composition at 158 meV per atom.

=====

Record 10
The following is a PBE-GGA calculation of an optimized crystal structure of NiAuCl4, from the Alexandria database.

The space group is F-43m (No. 216) and the conventional cell measures 8.164, 8.164 and 8.164 Å, with angles of 90.00, 90.00 and 90.00 degrees. The distinct sites, in fractional coordinates, are Ni at (0.000, 0.000, 0.000), Au at (0.250, 0.250, 0.750) and Cl at (0.125, 0.125, 0.375).

For the final energy, the calculation gives -1.68 eV per atom.

=====

Record 11
The following is a PBE-GGA calculation of an optimized crystal structure of Ni2AuCl, from the Alexandria database.

The space group is Immm (No. 71) and the conventional cell measures 2.885, 5.790 and 7.866 Å, with angles of 90.00, 90.00 and 90.00 degrees. The distinct sites, in fractional coordinates, are Ni at (0.000, 0.000, 0.227), Au at (0.000, 0.500, 0.000) and Cl at (0.000, 0.500, 0.500).

The calculation puts the energy relative to the lowest polymorph listed for this composition at 325 meV per atom.

=====

Record 12
The following is a PBE-GGA calculation of an optimized crystal structure of NiAuCl2, from the Alexandria database.

The space group is Fm-3m (No. 225) and the conventional cell measures 6.607, 6.607 and 6.607 Å, with angles of 90.00, 90.00 and 90.00 degrees. The distinct sites, in fractional coordinates, are Ni at (0.000, 0.000, 0.000), Au at (0.000, 0.000, 0.500) and Cl at (0.250, 0.250, 0.250).

The calculation puts the energy relative to the lowest polymorph listed for this composition at 584 meV per atom.